Below is a relaxed structure of FeTeMo2, with properties calculated at the PBE level.

Summary:
The size of the total moment is 0.539 μB per formula unit. The calculation puts the raw total energy at -0.2904 hartree per atom. The space-group type is I4/mmm. The calculation puts the polymorph energy (0 for the lowest one) at 97.1 meV per atom. The calculation puts the uncorrected formation energy at 1.7 eV per formula unit.

Unit cell a=5.088 b=5.088 c=5.088 alpha=136.18 beta=136.18 gamma=63.70
Each line ends with the local moment (μB).
Element x y z (fractional)
1 Te 0.250 0.750 0.500  -0.01
2 Mo 0.000 0.000 0.000  -0.04
3 Fe 0.750 0.250 0.500  0.66
4 Mo 0.500 0.500 0.000  -0.04